(1)
VASP calculation (meta-GGA SCAN) on BAsSe2 at its PBEsol-relaxed geometry.

Output
Space group: R-3m
Formation energy from raw total energies in kJ/mol of formula units: 208
Offset from the most stable computed form in meV/atom: 0

Lattice parameters (Å, degrees): 3.2192 3.2192 23.5588 90.00 90.00 120.00
Positions (direct):
B 0.0000 0.0000 0.0000
B 0.3333 0.6667 0.6667
B 0.6667 0.3333 0.3333
As 0.0000 0.0000 0.5000
As 0.3333 0.6667 0.1667
As 0.6667 0.3333 0.8333
Se 0.0000 0.0000 0.3876
Se 0.0000 0.0000 0.6124
Se 0.3333 0.6667 0.0543
Se 0.3333 0.6667 0.2790
Se 0.6667 0.3333 0.7210
Se 0.6667 0.3333 0.9457

(2)
VASP calculation (meta-GGA SCAN) on SiBAs2Se at its PBEsol-relaxed geometry.

Output
Space group: P4/mmm
Formation energy from raw total energies in kJ/mol of formula units: 467

Lattice parameters (Å, degrees): 4.2902 4.2902 4.5247 90.00 90.00 90.00
Positions (direct):
Si 0.0000 0.0000 0.0000
B 0.5000 0.5000 0.5000
As 0.0000 0.5000 0.5000
As 0.5000 0.0000 0.5000
Se 0.5000 0.5000 0.0000

(3)
VASP calculation (meta-GGA SCAN) on BTeAs2Se at its PBEsol-relaxed geometry.

Output
Space group: P4/mmm
Formation energy from raw total energies in kJ/mol of formula units: 367

Lattice parameters (Å, degrees): 4.4305 4.4305 4.5784 90.00 90.00 90.00
Positions (direct):
B 0.0000 0.0000 0.0000
Te 0.5000 0.5000 0.5000
As 0.0000 0.5000 0.0000
As 0.5000 0.0000 0.0000
Se 0.0000 0.0000 0.5000

(4)
VASP calculation (meta-GGA SCAN) on ZnBAs2Se at its PBEsol-relaxed geometry.

Output
Space group: P4/mmm
Formation energy from raw total energies in kJ/mol of formula units: 732
Offset from the most stable computed form in meV/atom: 666

Lattice parameters (Å, degrees): 4.6814 4.6814 4.9346 90.00 90.00 90.00
Positions (direct):
Zn 0.0000 0.0000 0.0000
B 0.5000 0.5000 0.5000
As 0.0000 0.5000 0.0000
As 0.5000 0.0000 0.0000
Se 0.0000 0.0000 0.5000

(5)
VASP calculation (meta-GGA SCAN) on ZnBAs2Se at its PBEsol-relaxed geometry.

Output
Space group: P4/mmm
Formation energy from raw total energies in kJ/mol of formula units: 411
Offset from the most stable computed form in meV/atom: 0

Lattice parameters (Å, degrees): 4.2557 4.2557 4.6808 90.00 90.00 90.00
Positions (direct):
Zn 0.0000 0.0000 0.0000
B 0.5000 0.5000 0.5000
As 0.0000 0.5000 0.5000
As 0.5000 0.0000 0.5000
Se 0.5000 0.5000 0.0000

(6)
VASP calculation (meta-GGA SCAN) on TaB2As at its PBEsol-relaxed geometry.

Output
Space group: I-42d
ΔH_f (0 K) in meV/atom: 597

Lattice parameters (Å, degrees): 5.7407 5.7407 5.9473 90.00 90.00 90.00
Positions (direct):
Ta 0.0000 0.0000 0.0000
Ta 0.0000 0.5000 0.2500
Ta 0.5000 0.0000 0.7500
Ta 0.5000 0.5000 0.5000
B 0.2072 0.2500 0.6250
B 0.2500 0.7072 0.8750
B 0.2500 0.7928 0.3750
B 0.2928 0.2500 0.1250
B 0.7072 0.7500 0.1250
B 0.7500 0.2072 0.3750
B 0.7500 0.2928 0.8750
B 0.7928 0.7500 0.6250
As 0.0000 0.0000 0.5000
As 0.0000 0.5000 0.7500
As 0.5000 0.0000 0.2500
As 0.5000 0.5000 0.0000

(7)
VASP calculation (meta-GGA SCAN) on TaB3As at its PBEsol-relaxed geometry.

Output
Space group: Pm-3m
ΔH_f (0 K) in meV/atom: 1945

Lattice parameters (Å, degrees): 3.9667 3.9667 3.9667 90.00 90.00 90.00
Positions (direct):
Ta 0.0000 0.0000 0.0000
B 0.0000 0.5000 0.5000
B 0.5000 0.0000 0.5000
B 0.5000 0.5000 0.0000
As 0.5000 0.5000 0.5000

(8)
VASP calculation (meta-GGA SCAN) on Tc2BAs at its PBEsol-relaxed geometry.

Output
Space group: I-42d
ΔH_f (0 K) in meV/atom: 111

Lattice parameters (Å, degrees): 6.7960 6.7960 4.5511 90.00 90.00 90.00
Positions (direct):
Tc 0.1531 0.7500 0.1250
Tc 0.2500 0.1531 0.8750
Tc 0.2500 0.3469 0.3750
Tc 0.3469 0.7500 0.6250
Tc 0.6531 0.2500 0.6250
Tc 0.7500 0.6531 0.3750
Tc 0.7500 0.8469 0.8750
Tc 0.8469 0.2500 0.1250
B 0.0000 0.0000 0.0000
B 0.0000 0.5000 0.2500
B 0.5000 0.0000 0.7500
B 0.5000 0.5000 0.5000
As 0.0000 0.0000 0.5000
As 0.0000 0.5000 0.7500
As 0.5000 0.0000 0.2500
As 0.5000 0.5000 0.0000

(9)
VASP calculation (meta-GGA SCAN) on ZnBAs3 at its PBEsol-relaxed geometry.

Output
Space group: Pm-3m
ΔH_f (0 K) in meV/atom: 859

Lattice parameters (Å, degrees): 4.3593 4.3593 4.3593 90.00 90.00 90.00
Positions (direct):
Zn 0.0000 0.0000 0.0000
B 0.5000 0.5000 0.5000
As 0.0000 0.5000 0.5000
As 0.5000 0.0000 0.5000
As 0.5000 0.5000 0.0000

(10)
VASP calculation (meta-GGA SCAN) on ZnB2As at its PBEsol-relaxed geometry.

Output
Space group: Fm-3m
ΔH_f (0 K) in meV/atom: 1465

Lattice parameters (Å, degrees): 5.7064 5.7064 5.7064 90.00 90.00 90.00
Positions (direct):
Zn 0.0000 0.0000 0.0000
Zn 0.0000 0.5000 0.5000
Zn 0.5000 0.0000 0.5000
Zn 0.5000 0.5000 0.0000
B 0.2500 0.2500 0.2500
B 0.2500 0.2500 0.7500
B 0.2500 0.7500 0.2500
B 0.2500 0.7500 0.7500
B 0.7500 0.2500 0.2500
B 0.7500 0.2500 0.7500
B 0.7500 0.7500 0.2500
B 0.7500 0.7500 0.7500
As 0.0000 0.0000 0.5000
As 0.0000 0.5000 0.0000
As 0.5000 0.0000 0.0000
As 0.5000 0.5000 0.5000

(11)
VASP calculation (meta-GGA SCAN) on ZrB3As at its PBEsol-relaxed geometry.

Output
Space group: Pm-3m
ΔH_f (0 K) in meV/atom: 2000

Lattice parameters (Å, degrees): 4.3868 4.3868 4.3868 90.00 90.00 90.00
Positions (direct):
Zr 0.0000 0.0000 0.0000
B 0.0000 0.0000 0.5000
B 0.0000 0.5000 0.0000
B 0.5000 0.0000 0.0000
As 0.5000 0.5000 0.5000

(12)
VASP calculation (meta-GGA SCAN) on Ba3As at its PBEsol-relaxed geometry.

Output
Space group: R-3m
ΔH_f (0 K) in meV/atom: -226
Offset from the most stable computed form in meV/atom: 508

Lattice parameters (Å, degrees): 11.1910 11.1910 4.1308 90.00 90.00 120.00
Positions (direct):
Ba 0.0000 0.5000 0.0000
Ba 0.1667 0.3333 0.3333
Ba 0.1667 0.8333 0.3333
Ba 0.3333 0.1667 0.6667
Ba 0.5000 0.0000 0.0000
Ba 0.5000 0.5000 0.0000
Ba 0.6667 0.8333 0.3333
Ba 0.8333 0.1667 0.6667
Ba 0.8333 0.6667 0.6667
As 0.0000 0.0000 0.0000
As 0.3333 0.6667 0.6667
As 0.6667 0.3333 0.3333

(13)
VASP calculation (meta-GGA SCAN) on Ba3As at its PBEsol-relaxed geometry.

Output
Space group: R-3m
ΔH_f (0 K) in meV/atom: -734
Offset from the most stable computed form in meV/atom: 0

Lattice parameters (Å, degrees): 4.6216 4.6216 34.8114 90.00 90.00 120.00
Positions (direct):
Ba 0.0000 0.0000 0.0000
Ba 0.0000 0.0000 0.2174
Ba 0.0000 0.0000 0.7826
Ba 0.3333 0.6667 0.4492
Ba 0.3333 0.6667 0.6667
Ba 0.3333 0.6667 0.8841
Ba 0.6667 0.3333 0.1159
Ba 0.6667 0.3333 0.3333
Ba 0.6667 0.3333 0.5508
As 0.0000 0.0000 0.5000
As 0.3333 0.6667 0.1667
As 0.6667 0.3333 0.8333

(14)
VASP calculation (meta-GGA SCAN) on Ba5As3 at its PBEsol-relaxed geometry.

Output
Space group: P6_3/mcm
ΔH_f (0 K) in meV/atom: -1187

Lattice parameters (Å, degrees): 9.5545 9.5545 7.8089 90.00 90.00 120.00
Positions (direct):
Ba 0.0000 0.2572 0.2500
Ba 0.0000 0.7428 0.7500
Ba 0.2572 0.0000 0.2500
Ba 0.2572 0.2572 0.7500
Ba 0.3333 0.6667 0.0000
Ba 0.3333 0.6667 0.5000
Ba 0.6667 0.3333 0.0000
Ba 0.6667 0.3333 0.5000
Ba 0.7428 0.0000 0.7500
Ba 0.7428 0.7428 0.2500
As 0.0000 0.3932 0.7500
As 0.0000 0.6068 0.2500
As 0.3932 0.0000 0.7500
As 0.3932 0.3932 0.2500
As 0.6068 0.0000 0.2500
As 0.6068 0.6068 0.7500

Number 1: M_tot 0.00 μB/f.u.. Number 2: M_tot 0.07 μB/f.u.. Number 3: M_tot 0.00 μB/f.u.. Number 4: M_tot 0.00 μB/f.u.. Number 5: M_tot 0.00 μB/f.u.. Number 6: M_tot 0.00 μB/f.u.. Number 7: M_tot 0.00 μB/f.u.. Number 8: M_tot 0.00 μB/f.u.. Number 9: M_tot 0.00 μB/f.u.. Number 10: M_tot 0.00 μB/f.u.. Number 11: M_tot 0.00 μB/f.u.. Number 12: M_tot 0.00 μB/f.u.. Number 13: M_tot 1.12 μB/f.u.. Number 14: M_tot 1.00 μB/f.u..